A PBEsol-optimized structure of MoRuAu2. Source: the Alexandria database, functional SCAN.

Summary:
The value obtained for the density of states at the Fermi level is 2.6 states/eV/cell. Its formation energy is 0.097 eV/atom. The spin magnetization comes out at 0.0 μB/f.u.

Structure (CIF):
```
data_MoRuAu2
_space_group_name_H-M_alt 'P 4 m m'
_space_group_IT_number 99
_cell_length_a 2.7935
_cell_length_b 2.7935
_cell_length_c 8.0099
_cell_angle_alpha 90.00
_cell_angle_beta 90.00
_cell_angle_gamma 90.00
loop_
_space_group_symop_operation_xyz
'x,y,z'
'-y,x,z'
'-x,-y,z'
'y,-x,z'
'-x,y,z'
'y,x,z'
'x,-y,z'
'-y,-x,z'
loop_
_atom_site_label
_atom_site_type_symbol
_atom_site_fract_x
_atom_site_fract_y
_atom_site_fract_z
_atom_site_occupancy
Mo1 Mo 0.0000 0.0000 0.0000 1
Ru1 Ru 0.5000 0.5000 0.2099 1
Au1 Au 0.0000 0.0000 0.4672 1
Au2 Au 0.5000 0.5000 0.7400 1
```

A PBEsol-optimized structure of Y5Tl3. Source: the Alexandria database, functional SCAN.

Summary:
The value obtained for the density of states at the Fermi level is 19.2 states/eV/cell. Its formation energy is -0.606 eV/atom. The spin magnetization comes out at 0.3 μB/f.u.

Structure (CIF):
```
data_Y5Tl3
_space_group_name_H-M_alt 'I 4/m c m'
_space_group_IT_number 140
_space_group_name_Hall '-I 4 2c'
_cell_length_a 12.0246
_cell_length_b 12.0246
_cell_length_c 6.0108
_cell_angle_alpha 90.00
_cell_angle_beta 90.00
_cell_angle_gamma 90.00
loop_
_atom_site_label
_atom_site_type_symbol
_atom_site_fract_x
_atom_site_fract_y
_atom_site_fract_z
_atom_site_occupancy
Y1 Y 0.0000 0.5000 0.2500 1
Y2 Y 0.0825 0.2187 0.0000 1
Tl1 Tl 0.0000 0.0000 0.2500 1
Tl2 Tl 0.1616 0.3384 0.5000 1
```

A PBEsol-optimized structure of Na2MgInF7. Source: the Alexandria database, functional SCAN.

Summary:
The value obtained for the density of states at the Fermi level is 0.0 states/eV/cell. The uncorrected formation energy is -3.13 eV per atom. The spin magnetization comes out at 0.1 μB/f.u.

Structure (CIF):
```
data_Na2MgInF7
_space_group_name_H-M_alt 'P n m a'
_space_group_IT_number 62
_cell_length_a 10.2588
_cell_length_b 7.3246
_cell_length_c 7.4836
_cell_angle_alpha 90.00
_cell_angle_beta 90.00
_cell_angle_gamma 90.00
loop_
_space_group_symop_operation_xyz
'x,y,z'
'-x,-y,-z'
'-x+1/2,-y,z+1/2'
'x+1/2,y,-z+1/2'
'x+1/2,-y+1/2,-z+1/2'
'-x+1/2,y+1/2,z+1/2'
'-x,y+1/2,-z'
'x,-y+1/2,z'
loop_
_atom_site_label
_atom_site_type_symbol
_atom_site_fract_x
_atom_site_fract_y
_atom_site_fract_z
_atom_site_occupancy
Na1 Na 0.0000 0.0000 0.0000 1
Na2 Na 0.2318 0.2500 0.2572 1
Mg1 Mg 0.0000 0.0000 0.5000 1
In1 In 0.2269 0.2500 0.7312 1
F1 F 0.0659 0.2500 0.4863 1
F2 F 0.1255 0.5064 0.7033 1
F3 F 0.1344 0.5531 0.3185 1
F4 F 0.1371 0.2500 0.9821 1
F5 F 0.1546 0.7500 0.0091 1
```

A PBEsol-optimized structure of CrRh3. Source: the Alexandria database, functional SCAN.

Summary:
The value obtained for the density of states at the Fermi level is 7.5 states/eV/cell. Its formation energy is -0.102 eV/atom. The spin magnetization comes out at 0.0 μB/f.u.

Structure (CIF):
```
data_CrRh3
_space_group_name_H-M_alt 'P m m n'
_space_group_IT_number 59
_cell_length_a 4.1912
_cell_length_b 5.3131
_cell_length_c 4.6206
_cell_angle_alpha 90.00
_cell_angle_beta 90.00
_cell_angle_gamma 90.00
loop_
_space_group_symop_operation_xyz
'x,y,z'
'-x,-y,-z'
'-x+1/2,-y+1/2,z'
'x+1/2,y+1/2,-z'
'x+1/2,-y,-z'
'-x+1/2,y,z'
'-x,y+1/2,-z'
'x,-y+1/2,z'
loop_
_atom_site_label
_atom_site_type_symbol
_atom_site_fract_x
_atom_site_fract_y
_atom_site_fract_z
_atom_site_occupancy
Cr1 Cr 0.2500 0.2500 0.1707 1
Rh1 Rh 0.2500 0.0009 0.6704 1
Rh2 Rh 0.2500 0.7500 0.1584 1
```

Number 1: raw total energy -207.6 eV/cell. Number 2: raw total energy -1444.5 eV/cell. Number 3: raw total energy -423.8 eV/cell. Number 4: raw total energy -240.2 eV/cell.